{"formula": "RbTeCl", "functional": "GGA-PBE", "state": "relaxed", "raw_formation_energy_kj_per_mol_atoms": -80.2, "polymorph_energy_mev_per_atom": 327.7, "magmom_total_mub_per_cell": 0.0, "dft_energy_ev_per_cell": -8.45, "lattice": [[5.508, 0.000, -0.001], [0.000, 3.602, 0.000], [-1.700, 0.000, 5.568]], "species": ["Te", "Rb", "Cl"], "fractional_positions": [[0.500, 0.500, 0.500], [0.000, 0.000, 0.000], [0.500, 0.500, 0.000]]}

{"formula": "Rb10Te4Cl", "functional": "GGA-PBE", "state": "relaxed", "raw_formation_energy_kj_per_mol_atoms": -97.7, "magmom_total_mub_per_cell": 0.0, "dft_energy_ev_per_cell": -39.27, "lattice": [[-4.737, -1.086, -3.687], [0.941, -1.161, -5.914], [0.373, -24.877, 1.798]], "species": ["Rb", "Rb", "Rb", "Rb", "Rb", "Rb", "Rb", "Rb", "Rb", "Rb", "Te", "Te", "Te", "Te", "Cl"], "fractional_positions": [[0.950, 0.950, 0.149], [0.150, 0.150, 0.550], [0.550, 0.550, 0.350], [0.350, 0.350, 0.950], [0.750, 0.750, 0.751], [0.650, 0.650, 0.050], [0.850, 0.850, 0.450], [0.250, 0.250, 0.249], [0.050, 0.050, 0.851], [0.450, 0.450, 0.650], [0.399, 0.399, 0.802], [0.800, 0.800, 0.601], [0.200, 0.200, 0.399], [0.601, 0.601, 0.198], [0.000, 0.000, 0.000]]}

{"formula": "RbTeCl", "functional": "GGA-PBE", "state": "relaxed", "raw_formation_energy_kj_per_mol_atoms": -111.9, "polymorph_energy_mev_per_atom": 0.0, "magmom_total_mub_per_cell": 0.0, "dft_energy_ev_per_cell": -18.87, "lattice": [[-4.157, 0.721, 1.360], [-1.538, -2.160, -3.552], [0.421, -10.498, 6.357]], "species": ["Rb", "Rb", "Te", "Te", "Cl", "Cl"], "fractional_positions": [[0.745, 0.246, 0.861], [0.255, 0.754, 0.139], [0.250, 0.750, 0.508], [0.750, 0.250, 0.492], [0.755, 0.254, 0.138], [0.245, 0.746, 0.862]]}

{"formula": "RbTeCl", "functional": "GGA-PBE", "state": "relaxed", "raw_formation_energy_kj_per_mol_atoms": -79.2, "polymorph_energy_mev_per_atom": 338.7, "magmom_total_mub_per_cell": 0.0, "dft_energy_ev_per_cell": -8.42, "lattice": [[-2.049, -3.669, -2.991], [2.263, -4.552, 1.422], [-2.082, -2.609, 4.455]], "species": ["Te", "Rb", "Cl"], "fractional_positions": [[0.099, 0.675, 0.312], [0.623, 0.526, 0.865], [0.219, 0.142, 0.301]]}

{"formula": "RbTe2Cl8", "functional": "GGA-PBE", "state": "relaxed", "raw_formation_energy_kj_per_mol_atoms": -69.2, "magmom_total_mub_per_cell": 0.0, "dft_energy_ev_per_cell": -29.92, "lattice": [[-0.124, -4.631, -2.930], [8.737, 1.878, -3.339], [-1.055, -5.049, 8.027]], "species": ["Rb", "Te", "Te", "Cl", "Cl", "Cl", "Cl", "Cl", "Cl", "Cl", "Cl"], "fractional_positions": [[0.000, 0.000, 0.000], [0.273, 0.333, 0.667], [0.727, 0.667, 0.333], [0.225, 0.667, 0.333], [0.775, 0.333, 0.667], [0.721, 0.816, 0.183], [0.279, 0.182, 0.367], [0.279, 0.633, 0.816], [0.279, 0.184, 0.817], [0.721, 0.817, 0.633], [0.721, 0.367, 0.184]]}

{"formula": "Rb2TeCl", "functional": "GGA-PBE", "state": "relaxed", "raw_formation_energy_kj_per_mol_atoms": -122.1, "polymorph_energy_mev_per_atom": 0.0, "magmom_total_mub_per_cell": 0.0, "dft_energy_ev_per_cell": -11.99, "lattice": [[3.922, 0.000, 0.000], [0.000, 3.922, 0.000], [0.000, 0.000, 9.210]], "species": ["Te", "Rb", "Rb", "Cl"], "fractional_positions": [[0.500, 0.500, 0.500], [0.000, 0.000, 0.783], [0.000, 0.000, 0.217], [0.500, 0.500, 0.000]]}

{"formula": "RbTe2Cl", "functional": "GGA-PBE", "state": "relaxed", "raw_formation_energy_kj_per_mol_atoms": 8.6, "polymorph_energy_mev_per_atom": 882.9, "magmom_total_mub_per_cell": 0.0, "dft_energy_ev_per_cell": -8.74, "lattice": [[0.000, 4.061, 4.061], [4.061, 0.000, 4.061], [4.061, 4.061, 0.000]], "species": ["Te", "Te", "Rb", "Cl"], "fractional_positions": [[0.250, 0.250, 0.250], [0.750, 0.750, 0.750], [0.500, 0.500, 0.500], [0.000, 0.000, 0.000]]}

{"formula": "Rb2TeCl5", "functional": "GGA-PBE", "state": "relaxed", "raw_formation_energy_kj_per_mol_atoms": -115.9, "polymorph_energy_mev_per_atom": 42.5, "magmom_total_mub_per_cell": 1.0, "dft_energy_ev_per_cell": -23.92, "lattice": [[7.603, 0.000, 0.000], [0.000, 7.603, 0.000], [-3.801, -3.802, 4.976]], "species": ["Rb", "Rb", "Te", "Cl", "Cl", "Cl", "Cl", "Cl"], "fractional_positions": [[0.252, 0.752, 0.505], [0.752, 0.252, 0.505], [0.011, 0.011, 0.021], [0.768, 0.247, 0.015], [0.247, 0.247, 0.015], [0.769, 0.769, 0.015], [0.247, 0.768, 0.015], [0.731, 0.731, 0.462]]}